No. 1
A plane-wave DFT calculation with GGA-PBE was carried out for a relaxed structure of K2Cd17.

Geometry as CIF:
```
data_K2Cd17
_chemical_formula_sum 'K6 Cd51'
_cell_length_a 10.4082
_cell_length_b 10.4082
_cell_length_c 15.2639
_cell_angle_alpha 90.00
_cell_angle_beta 90.00
_cell_angle_gamma 120.00
_space_group_name_H-M_alt 'R -3 m'
_space_group_IT_number 166
_space_group_name_Hall '-R 3 2"'
loop_
_atom_site_label
_atom_site_type_symbol
_atom_site_fract_x
_atom_site_fract_y
_atom_site_fract_z
K1 K 0.0000 0.0000 0.1602
Cd1 Cd 0.0000 0.0000 0.4009
Cd2 Cd 0.0000 0.2976 0.5000
Cd3 Cd 0.0000 0.5000 0.0000
Cd4 Cd 0.0045 0.5023 0.6504
```

Values from the calculation:
Final energy in eV per atom: -0.99
Crystal system: trigonal
Energy of formation in eV/atom: -0.060

***

No. 2
A plane-wave DFT calculation with GGA-PBE was carried out for a relaxed structure of K2Cd.

Geometry as CIF:
```
data_K2Cd
_chemical_formula_sum 'K8 Cd4'
_cell_length_a 4.902
_cell_length_b 18.444
_cell_length_c 6.312
_cell_angle_alpha 90.00
_cell_angle_beta 90.00
_cell_angle_gamma 90.00
_space_group_name_H-M_alt 'C m c m'
_space_group_IT_number 63
_space_group_name_Hall '-C 2c 2'
loop_
_atom_site_label
_atom_site_type_symbol
_atom_site_fract_x
_atom_site_fract_y
_atom_site_fract_z
K1 K 0.000 0.065 0.250
K2 K 0.000 0.245 0.750
Cd1 Cd 0.000 0.405 0.250
```

Values from the calculation:
Final energy in eV per atom: -1.02
Crystal system: orthorhombic
Energy above the lowest structure with this stoichiometry in meV per atom: 45
Energy of formation in eV/atom: 0.014

***

No. 3
A plane-wave DFT calculation with GGA-PBE was carried out for a relaxed structure of KLaCd2.

Geometry as CIF:
```
data_KLaCd2
_chemical_formula_sum 'K4 La4 Cd8'
_cell_length_a 8.002
_cell_length_b 8.002
_cell_length_c 8.002
_cell_angle_alpha 90.00
_cell_angle_beta 90.00
_cell_angle_gamma 90.00
_space_group_name_H-M_alt 'F m -3 m'
_space_group_IT_number 225
_space_group_name_Hall '-F 4 2 3'
loop_
_atom_site_label
_atom_site_type_symbol
_atom_site_fract_x
_atom_site_fract_y
_atom_site_fract_z
K1 K 0.000 0.000 0.000
La1 La 0.000 0.000 0.500
Cd1 Cd 0.250 0.250 0.250
```

Values from the calculation:
Final energy in eV per atom: -2.02
Crystal system: cubic
Energy above the lowest structure with this stoichiometry in meV per atom: 90
Energy of formation in eV/atom: -0.052

***

No. 4
A plane-wave DFT calculation with GGA-PBE was carried out for a relaxed structure of KLaCd3.

Geometry as CIF:
```
data_KLaCd3
_chemical_formula_sum 'K1 La1 Cd3'
_cell_length_a 6.213
_cell_length_b 6.213
_cell_length_c 6.213
_cell_angle_alpha 90.00
_cell_angle_beta 90.00
_cell_angle_gamma 90.00
_space_group_name_H-M_alt 'P m -3 m'
_space_group_IT_number 221
_space_group_name_Hall '-P 4 2 3'
loop_
_atom_site_label
_atom_site_type_symbol
_atom_site_fract_x
_atom_site_fract_y
_atom_site_fract_z
K1 K 0.000 0.000 0.000
La1 La 0.500 0.500 0.500
Cd1 Cd 0.000 0.500 0.500
```

Values from the calculation:
Final energy in eV per atom: -1.41
Crystal system: cubic
Energy above the lowest structure with this stoichiometry in meV per atom: 0
Energy of formation in eV/atom: 0.340

***

No. 5
A plane-wave DFT calculation with GGA-PBE was carried out for a relaxed structure of K2LaCd.

Geometry as CIF:
```
data_K2LaCd
_chemical_formula_sum 'K4 La2 Cd2'
_cell_length_a 3.754
_cell_length_b 5.412
_cell_length_c 19.502
_cell_angle_alpha 90.00
_cell_angle_beta 90.00
_cell_angle_gamma 90.00
_space_group_name_H-M_alt 'I m m m'
_space_group_IT_number 71
_space_group_name_Hall '-I 2 2'
loop_
_atom_site_label
_atom_site_type_symbol
_atom_site_fract_x
_atom_site_fract_y
_atom_site_fract_z
K1 K 0.000 0.000 0.164
La1 La 0.000 0.500 0.000
Cd1 Cd 0.000 0.500 0.500
```

Values from the calculation:
Final energy in eV per atom: -1.90
Crystal system: orthorhombic
Energy of formation in eV/atom: 0.108

***

No. 6
A plane-wave DFT calculation with GGA-PBE was carried out for a relaxed structure of KLaCd2.

Geometry as CIF:
```
data_KLaCd2
_chemical_formula_sum 'K2 La2 Cd4'
_cell_length_a 12.947
_cell_length_b 3.503
_cell_length_c 5.965
_cell_angle_alpha 90.00
_cell_angle_beta 109.27
_cell_angle_gamma 90.00
_space_group_name_H-M_alt 'C 1 m 1'
_space_group_IT_number 8
loop_
_space_group_symop_operation_xyz
'x,y,z'
'x,-y,z'
'x+1/2,y+1/2,z'
'x+1/2,-y+1/2,z'
loop_
_atom_site_label
_atom_site_type_symbol
_atom_site_fract_x
_atom_site_fract_y
_atom_site_fract_z
K1 K 0.000 0.000 0.000
La1 La 0.304 0.500 0.359
Cd1 Cd 0.048 0.500 0.532
Cd2 Cd 0.239 0.000 0.818
```

Values from the calculation:
Final energy in eV per atom: -2.02
Crystal system: monoclinic
Energy above the lowest structure with this stoichiometry in meV per atom: 89
Energy of formation in eV/atom: -0.053

***

Please write out number 2 again, unchanged.
A plane-wave DFT calculation with GGA-PBE was carried out for a relaxed structure of K2Cd.

Geometry as CIF:
```
data_K2Cd
_chemical_formula_sum 'K8 Cd4'
_cell_length_a 4.902
_cell_length_b 18.444
_cell_length_c 6.312
_cell_angle_alpha 90.00
_cell_angle_beta 90.00
_cell_angle_gamma 90.00
_space_group_name_H-M_alt 'C m c m'
_space_group_IT_number 63
_space_group_name_Hall '-C 2c 2'
loop_
_atom_site_label
_atom_site_type_symbol
_atom_site_fract_x
_atom_site_fract_y
_atom_site_fract_z
K1 K 0.000 0.065 0.250
K2 K 0.000 0.245 0.750
Cd1 Cd 0.000 0.405 0.250
```

Values from the calculation:
Final energy in eV per atom: -1.02
Crystal system: orthorhombic
Energy above the lowest structure with this stoichiometry in meV per atom: 45
Energy of formation in eV/atom: 0.014